1.
First-principles (GGA-PBE) data for a relaxed structure of SnGe2P2, as listed in Alexandria via LeMat-Bulk.

Geometry as CIF:
```
data_SnGe2P2
_chemical_formula_sum 'Sn4 Ge8 P8'
_symmetry_space_group_name_H-M 'C 1 2/c 1'
_symmetry_Int_Tables_number 15
_cell_length_a 6.035
_cell_length_b 12.104
_cell_length_c 6.451
_cell_angle_alpha 90.00
_cell_angle_beta 117.00
_cell_angle_gamma 90.00
loop_
_symmetry_equiv_pos_as_xyz
'x,y,z'
'-x,-y,-z'
'-x,y,-z+1/2'
'x,-y,z+1/2'
'x+1/2,y+1/2,z'
'-x+1/2,-y+1/2,-z'
'-x+1/2,y+1/2,-z+1/2'
'x+1/2,-y+1/2,z+1/2'
loop_
_atom_site_label
_atom_site_fract_x
_atom_site_fract_y
_atom_site_fract_z
Sn1 0.000 0.204 0.250
Ge1 0.242 0.076 0.965
P1 0.000 0.285 0.750
P2 0.000 0.427 0.250
```

ΔE to the lowest computed polymorph ... 0.000 kcal/mol of atoms
N(E_F) ... 1.911 states/eV/f.u.
Formation energy from the elements ... 0.221 eV per atom
E_tot ... -4.590 eV per atom

---

2.
First-principles (GGA-PBE) data for a relaxed structure of Y2SnGeP, as listed in Alexandria via LeMat-Bulk.

Geometry as CIF:
```
data_Y2SnGeP
_chemical_formula_sum 'Y2 Sn1 Ge1 P1'
_symmetry_space_group_name_H-M 'P 4/m m m'
_symmetry_Int_Tables_number 123
_symmetry_space_group_name_Hall '-P 4 2'
_cell_length_a 5.450
_cell_length_b 5.450
_cell_length_c 4.695
_cell_angle_alpha 90.00
_cell_angle_beta 90.00
_cell_angle_gamma 90.00
loop_
_atom_site_label
_atom_site_fract_x
_atom_site_fract_y
_atom_site_fract_z
Y1 0.000 0.500 0.000
Sn1 0.000 0.000 0.500
Ge1 0.500 0.500 0.000
P1 0.500 0.500 0.500
```

N(E_F) ... 5.318 states/eV/f.u.
Formation energy from the elements ... -0.076 eV per atom
E_tot ... -5.468 eV per atom

---

3.
First-principles (GGA-PBE) data for a relaxed structure of ZrSnGe2P, as listed in Alexandria via LeMat-Bulk.

Geometry as CIF:
```
data_ZrSnGe2P
_chemical_formula_sum 'Zr1 Sn1 Ge2 P1'
_symmetry_space_group_name_H-M 'P 4/m m m'
_symmetry_Int_Tables_number 123
_symmetry_space_group_name_Hall '-P 4 2'
_cell_length_a 5.173
_cell_length_b 5.173
_cell_length_c 5.577
_cell_angle_alpha 90.00
_cell_angle_beta 90.00
_cell_angle_gamma 90.00
loop_
_atom_site_label
_atom_site_fract_x
_atom_site_fract_y
_atom_site_fract_z
Zr1 0.000 0.000 0.000
Sn1 0.000 0.000 0.500
Ge1 0.000 0.500 0.000
P1 0.500 0.500 0.500
```

N(E_F) ... 5.022 states/eV/f.u.
Formation energy from the elements ... 0.903 eV per atom
E_tot ... -4.536 eV per atom

---

4.
First-principles (GGA-PBE) data for a relaxed structure of SrGeP, as listed in Alexandria via LeMat-Bulk.

Geometry as CIF:
```
data_SrGeP
_chemical_formula_sum 'Sr4 Ge4 P4'
_symmetry_space_group_name_H-M 'I m m m'
_symmetry_Int_Tables_number 71
_symmetry_space_group_name_Hall '-I 2 2'
_cell_length_a 4.487
_cell_length_b 5.123
_cell_length_c 14.419
_cell_angle_alpha 90.00
_cell_angle_beta 90.00
_cell_angle_gamma 90.00
loop_
_atom_site_label
_atom_site_fract_x
_atom_site_fract_y
_atom_site_fract_z
Sr1 0.000 0.000 0.150
Ge1 0.000 0.264 0.500
P1 0.000 0.000 0.358
```

N(E_F) ... 1.048 states/eV/f.u.
Formation energy from the elements ... -0.409 eV per atom
E_tot ... -4.312 eV per atom

---

5.
First-principles (GGA-PBE) data for a relaxed structure of Sr3Ge2P4, as listed in Alexandria via LeMat-Bulk.

Geometry as CIF:
```
data_Sr3Ge2P4
_chemical_formula_sum 'Sr12 Ge8 P16'
_symmetry_space_group_name_H-M 'P 1 21/c 1'
_symmetry_Int_Tables_number 14
_cell_length_a 7.503
_cell_length_b 18.269
_cell_length_c 7.313
_cell_angle_alpha 90.00
_cell_angle_beta 112.05
_cell_angle_gamma 90.00
loop_
_symmetry_equiv_pos_as_xyz
'x,y,z'
'-x,-y,-z'
'-x,y+1/2,-z+1/2'
'x,-y+1/2,z+1/2'
loop_
_atom_site_label
_atom_site_fract_x
_atom_site_fract_y
_atom_site_fract_z
Sr1 0.216 0.184 0.011
Sr2 0.256 0.063 0.511
Sr3 0.261 0.559 0.505
Ge1 0.212 0.627 0.027
Ge2 0.314 0.741 0.908
P1 0.010 0.560 0.757
P2 0.047 0.685 0.218
P3 0.491 0.568 0.238
P4 0.497 0.700 0.718
```

ΔE to the lowest computed polymorph ... 0.000 kcal/mol of atoms
Formation energy from the elements ... -0.797 eV per atom
E_tot ... -4.788 eV per atom

---

6.
First-principles (GGA-PBE) data for a relaxed structure of Sr3GeP4, as listed in Alexandria via LeMat-Bulk.

Geometry as CIF:
```
data_Sr3GeP4
_chemical_formula_sum 'Sr12 Ge4 P16'
_symmetry_space_group_name_H-M 'P n m a'
_symmetry_Int_Tables_number 62
_cell_length_a 8.203
_cell_length_b 10.350
_cell_length_c 9.620
_cell_angle_alpha 90.00
_cell_angle_beta 90.00
_cell_angle_gamma 90.00
loop_
_symmetry_equiv_pos_as_xyz
'x,y,z'
'-x,-y,-z'
'-x+1/2,-y,z+1/2'
'x+1/2,y,-z+1/2'
'x+1/2,-y+1/2,-z+1/2'
'-x+1/2,y+1/2,z+1/2'
'-x,y+1/2,-z'
'x,-y+1/2,z'
loop_
_atom_site_label
_atom_site_fract_x
_atom_site_fract_y
_atom_site_fract_z
Sr1 0.048 0.050 0.189
Sr2 0.162 0.750 0.415
Ge1 0.232 0.250 0.454
P1 0.041 0.750 0.099
P2 0.122 0.040 0.534
P3 0.196 0.750 0.725
```

Formation energy from the elements ... -0.800 eV per atom
E_tot ... -4.713 eV per atom

---

7.
First-principles (GGA-PBE) data for a relaxed structure of SrGeP3, as listed in Alexandria via LeMat-Bulk.

Geometry as CIF:
```
data_SrGeP3
_chemical_formula_sum 'Sr1 Ge1 P3'
_symmetry_space_group_name_H-M 'P m -3 m'
_symmetry_Int_Tables_number 221
_symmetry_space_group_name_Hall '-P 4 2 3'
_cell_length_a 5.357
_cell_length_b 5.357
_cell_length_c 5.357
_cell_angle_alpha 90.00
_cell_angle_beta 90.00
_cell_angle_gamma 90.00
loop_
_atom_site_label
_atom_site_fract_x
_atom_site_fract_y
_atom_site_fract_z
Sr1 0.000 0.000 0.000
Ge1 0.500 0.500 0.500
P1 0.000 0.000 0.500
```

ΔE to the lowest computed polymorph ... 28.804 kcal/mol of atoms
N(E_F) ... 4.495 states/eV/f.u.
Formation energy from the elements ... 1.410 eV per atom
E_tot ... -3.096 eV per atom

---

8.
First-principles (GGA-PBE) data for a relaxed structure of Sr5Ge2P6, as listed in Alexandria via LeMat-Bulk.

Geometry as CIF:
```
data_Sr5Ge2P6
_chemical_formula_sum 'Sr10 Ge4 P12'
_symmetry_space_group_name_H-M 'P b a m'
_symmetry_Int_Tables_number 55
_cell_length_a 11.628
_cell_length_b 14.269
_cell_length_c 4.066
_cell_angle_alpha 90.00
_cell_angle_beta 90.00
_cell_angle_gamma 90.00
loop_
_symmetry_equiv_pos_as_xyz
'x,y,z'
'-x,-y,-z'
'-x,-y,z'
'x,y,-z'
'x+1/2,-y+1/2,-z'
'-x+1/2,y+1/2,z'
'-x+1/2,y+1/2,-z'
'x+1/2,-y+1/2,z'
loop_
_atom_site_label
_atom_site_fract_x
_atom_site_fract_y
_atom_site_fract_z
Sr1 0.000 0.000 0.000
Sr2 0.072 0.249 0.000
Sr3 0.164 0.504 0.000
Ge1 0.177 0.712 0.500
P1 0.017 0.610 0.500
P2 0.163 0.102 0.500
P3 0.180 0.818 0.000
```

N(E_F) ... 1.201 states/eV/f.u.
Formation energy from the elements ... -0.816 eV per atom
E_tot ... -4.670 eV per atom